Entry 1:
This record from the Alexandria database describes AlBTe2 after structural relaxation. The functional is GGA-PBEsol. Values from VASP.

Structure (Quantum ESPRESSO input):
```
&SYSTEM
  ibrav = 0, nat = 8, ntyp = 3
/
ATOMIC_SPECIES
Al 26.98 Al.upf
B 10.81 B.upf
Te 127.60 Te.upf
CELL_PARAMETERS angstrom
-3.4480 3.4480 3.9586
3.4480 -3.4480 3.9586
3.4480 3.4480 -3.9586
ATOMIC_POSITIONS angstrom
Al 0.0000 0.0000 0.0000
Al 0.0000 3.4480 1.9793
B 3.4480 0.0000 1.9793
B 0.0000 0.0000 3.9586
Te 1.7240 2.3098 -0.9896
Te 4.5861 1.7240 0.9896
Te 1.7240 1.1382 2.9689
Te -1.1382 1.7240 4.9482
```

E_form (uncorrected) = 0.42 eV/atom
DFT total energy = -0.1512 hartree per atom
DOS at the Fermi energy = 0.109 states/eV/f.u.

Entry 2:
This record from the Alexandria database describes CdAg2AsAu after structural relaxation. The functional is GGA-PBEsol. Values from VASP.

Structure (Quantum ESPRESSO input):
```
&SYSTEM
  ibrav = 0, nat = 5, ntyp = 4
/
ATOMIC_SPECIES
Cd 112.41 Cd.upf
Ag 107.87 Ag.upf
As 74.92 As.upf
Au 196.97 Au.upf
CELL_PARAMETERS angstrom
5.0097 0.0000 0.0000
0.0000 5.0097 0.0000
0.0000 0.0000 4.8583
ATOMIC_POSITIONS angstrom
Cd 0.0000 0.0000 0.0000
Ag 0.0000 2.5049 0.0000
Ag 2.5049 0.0000 0.0000
As 0.0000 0.0000 2.4292
Au 2.5049 2.5049 2.4292
```

DFT total energy = -0.0881 hartree per atom
DOS at the Fermi energy = 1.714 states/eV/f.u.